Below is a PBEsol-optimized structure of Ti2CdTcH, with properties calculated at the meta-GGA SCAN level.

a b c (Å): 3.187 4.995 4.995
angles (deg): 90.00 90.00 90.00
Atoms (fractional coordinates):
H 0.500 0.000 0.000
Ti 0.000 0.000 0.500
Ti 0.000 0.500 0.000
Tc 0.500 0.500 0.500
Cd 0.000 0.000 0.000

Output
VASP energy	-19.09	eV per atom
volume	79.5	Å³/cell